# 1
CdRe2SiSb, optimized geometry, DFT PBE; calculated volume = 24.93 A^3/atom; energy relative to the elements, uncorrected = 2.15 eV/atom
1.0
4.959 0.000 0.000
0.000 4.959 0.000
0.000 0.000 5.068
Cd Re Si Sb
1 2 1 1
direct
0.000 0.000 0.000
0.000 0.500 0.500
0.500 0.000 0.500
0.500 0.500 0.000
0.500 0.500 0.500

=====

# 2
Sr2CdReSb, optimized geometry, DFT PBE; calculated volume = 36.21 A^3/atom; energy relative to the elements, uncorrected = 0.26 eV/atom
1.0
5.966 0.000 0.000
0.000 5.966 0.000
0.000 0.000 5.086
Sr Cd Re Sb
2 1 1 1
direct
0.000 0.500 0.000
0.500 0.000 0.000
0.000 0.000 0.500
0.500 0.500 0.000
0.500 0.500 0.500

=====

# 3
TlCdReSb2, optimized geometry, DFT PBE; calculated volume = 34.21 A^3/atom; energy relative to the elements, uncorrected = 1.83 eV/atom
1.0
5.696 0.000 0.000
0.000 5.696 0.000
0.000 0.000 5.272
Tl Cd Re Sb
1 1 1 2
direct
0.000 0.000 0.000
0.000 0.000 0.500
0.500 0.500 0.500
0.000 0.500 0.000
0.500 0.000 0.000

=====

# 4
ScCd2Re2, optimized geometry, DFT PBE; calculated volume = 20.65 A^3/atom; formation energy = 0.611 eV/atom
1.0
-2.033 2.033 6.242
2.033 -2.033 6.242
2.033 2.033 -6.242
Sc Cd Re
1 2 2
direct
0.000 0.000 0.000
0.250 0.750 0.500
0.750 0.250 0.500
0.411 0.411 0.000
0.589 0.589 0.000

=====

M_tot (μB/atom)
0.575; 0.172; 0.758; 0.000